! Ni2BiS | the Alexandria database | PBE | optimized geometry; values from VASP
! ΔE_f (raw) in meV/atom: 180.7
! Polymorph energy (0 for the lowest one) in meV per atom: 423
&SYSTEM
  ibrav = 0, nat = 4, ntyp = 3
/
ATOMIC_SPECIES
Ni 58.69 Ni.upf
S 32.06 S.upf
Bi 208.98 Bi.upf
CELL_PARAMETERS angstrom
4.3776 0.0000 0.0000
2.1888 3.7911 0.0000
2.1888 1.2637 5.3808
ATOMIC_POSITIONS crystal
Ni 0.1261 0.1261 0.6217
Ni 0.8739 0.8739 0.3783
S 0.0000 0.0000 0.0000
Bi 0.5000 0.5000 0.5000